Below is AlReSb2 after structural relaxation, with properties calculated at the PBE level.

Calculated values
As for the formation energy without anion corrections: 0.698 eV per atom. The value obtained for the density of states at the Fermi level is 0.80 states/eV/atom. Its calculated density is 9.712 g cm⁻³. Its total energy is -43.28 eV/cell. The space-group type is I-4m2.

Lattice parameters (Å, degrees): 4.2764 4.2764 8.5399 90.00 90.00 90.00
Atoms (fractional coordinates):
Al  0.0000  0.0000  0.0000
Al  0.5000  0.5000  0.5000
Re  0.0000  0.5000  0.7500
Re  0.5000  0.0000  0.2500
Sb  0.0000  0.0000  0.5000
Sb  0.0000  0.5000  0.2500
Sb  0.5000  0.0000  0.7500
Sb  0.5000  0.5000  0.0000